The following is a DFT calculation (PBE) of an optimized crystal structure of Li7InAu4.

Cell lengths 6.944, 6.944, 8.124 Å; angles 122.04, 122.04, 40.79 degrees
Sites, in units of the cell vectors:
Li 0.000 0.000 0.000
Li 0.238 0.238 0.695
Li 0.286 0.286 0.118
Li 0.430 0.430 0.588
Li 0.570 0.570 0.412
Li 0.714 0.714 0.882
Li 0.762 0.762 0.305
In 0.500 0.500 0.000
Au 0.057 0.057 0.730
Au 0.189 0.189 0.345
Au 0.811 0.811 0.655
Au 0.943 0.943 0.270

Summary:
volume	17.583	Å³ per atom
D(E_F)	3.608	states/eV/cell
symmetry	C2/m, No. 12
energy of formation	-32	kJ per mole of atoms

The following is a DFT calculation (PBE) of an optimized crystal structure of Li2HgAs.

Cell lengths 3.073, 3.073, 8.711 Å; angles 98.12, 98.12, 66.84 degrees
Sites, in units of the cell vectors:
Li 0.000 0.000 0.000
Li 0.150 0.150 0.551
Hg 0.444 0.444 0.275
As 0.575 0.575 0.775

Summary:
volume	18.639	Å³ per atom
D(E_F)	1.091	states/eV/cell
symmetry	Cm, No. 8
energy of formation	-32	kJ per mole of atoms

The following is a DFT calculation (PBE) of an optimized crystal structure of MgTlCr2.

Cell lengths 3.219, 3.792, 6.269 Å; angles 90.00, 90.00, 90.00 degrees
Sites, in units of the cell vectors:
Mg 0.000 0.000 0.000
Tl 0.000 0.000 0.500
Cr 0.500 0.500 0.247
Cr 0.500 0.500 0.753

Summary:
volume	19.130	Å³ per atom
D(E_F)	1.716	states/eV/cell
symmetry	Pmmm, No. 47
energy of formation	56	kJ per mole of atoms

The following is a DFT calculation (PBE) of an optimized crystal structure of Cs5In2Au5.

Cell lengths 5.907, 5.907, 15.067 Å; angles 100.75, 100.75, 62.32 degrees
Sites, in units of the cell vectors:
Cs 0.000 0.000 0.000
Cs 0.188 0.188 0.567
Cs 0.278 0.278 0.837
Cs 0.722 0.722 0.163
Cs 0.812 0.812 0.433
In 0.425 0.425 0.302
In 0.575 0.575 0.698
Au 0.136 0.136 0.300
Au 0.366 0.366 0.105
Au 0.500 0.500 0.500
Au 0.634 0.634 0.895
Au 0.864 0.864 0.700

Summary:
volume	37.864	Å³ per atom
D(E_F)	5.829	states/eV/cell
symmetry	C2/m, No. 12
energy of formation	-20	kJ per mole of atoms

The following is a DFT calculation (PBE) of an optimized crystal structure of Sr3Zn4Au4.

Cell lengths 4.319, 4.551, 13.902 Å; angles 80.78, 81.11, 89.82 degrees
Sites, in units of the cell vectors:
Sr 0.000 0.000 0.000
Sr 0.149 0.650 0.702
Sr 0.851 0.350 0.298
Zn 0.250 0.253 0.496
Zn 0.401 0.900 0.198
Zn 0.599 0.100 0.802
Zn 0.750 0.747 0.504
Au 0.307 0.804 0.390
Au 0.446 0.445 0.105
Au 0.554 0.555 0.895
Au 0.693 0.196 0.610

Summary:
volume	24.221	Å³ per atom
D(E_F)	5.839	states/eV/cell
symmetry	P-1, No. 2
energy of formation	-54	kJ per mole of atoms

The following is a DFT calculation (PBE) of an optimized crystal structure of RbAlS2.

Cell lengths 8.791, 8.791, 8.791 Å; angles 155.26, 130.99, 55.65 degrees
Sites, in units of the cell vectors:
Rb 0.137 0.137 0.000
Rb 0.863 0.863 0.000
Al 0.407 0.407 0.000
Al 0.593 0.593 0.000
S 0.261 0.500 0.761
S 0.321 0.821 0.500
S 0.679 0.179 0.500
S 0.739 0.500 0.239

Summary:
volume	26.688	Å³ per atom
D(E_F)	0.000	states/eV/cell
symmetry	Immm, No. 71
E_form (uncorrected)	-5.06	eV per formula unit

The following is a DFT calculation (PBE) of an optimized crystal structure of La2FeCuH.

Cell lengths 5.150, 5.150, 3.588 Å; angles 90.00, 90.00, 90.00 degrees
Sites, in units of the cell vectors:
La 0.000 0.500 0.000
La 0.500 0.000 0.000
Fe 0.000 0.000 0.500
Cu 0.500 0.500 0.500
H 0.000 0.000 0.000

Summary:
volume	19.029	Å³ per atom
D(E_F)	4.941	states/eV/cell
symmetry	P4/mmm, No. 123
total DFT energy (no corrections)	-5.23	eV per atom

The following is a DFT calculation (PBE) of an optimized crystal structure of Pr3Nd2Sn.

Cell lengths 8.260, 8.260, 5.017 Å; angles 90.00, 90.00, 144.94 degrees
Sites, in units of the cell vectors:
Pr 0.000 0.000 0.000
Pr 0.339 0.661 0.000
Pr 0.661 0.339 0.000
Nd 0.160 0.840 0.500
Nd 0.840 0.160 0.500
Sn 0.500 0.500 0.500

Summary:
volume	32.775	Å³ per atom
D(E_F)	7.112	states/eV/cell
symmetry	Cmmm, No. 65
energy of formation	-25	kJ per mole of atoms